The following is a DFT calculation (GGA-PBE) of an optimized crystal structure of La3YTh2N6.

## Properties
DOS at the Fermi energy: 0.171 states/eV/atom
energy: -8.6813 eV per atom

```
data_La3YTh2N6
_space_group_name_H-M_alt 'C 1 2/m 1'
_space_group_IT_number 12
_cell_length_a 6.3487
_cell_length_b 10.9931
_cell_length_c 6.3905
_cell_angle_alpha 90.00
_cell_angle_beta 109.28
_cell_angle_gamma 90.00
loop_
_space_group_symop_operation_xyz
'x,y,z'
'-x,-y,-z'
'-x,y,-z'
'x,-y,z'
'x+1/2,y+1/2,z'
'-x+1/2,-y+1/2,-z'
'-x+1/2,y+1/2,-z'
'x+1/2,-y+1/2,z'
loop_
_atom_site_label
_atom_site_type_symbol
_atom_site_fract_x
_atom_site_fract_y
_atom_site_fract_z
_atom_site_occupancy
La1 La 0.0000 0.0000 0.0000 1
La2 La 0.0000 0.3354 0.0000 1
Y1 Y 0.0000 0.5000 0.5000 1
Th1 Th 0.0000 0.1670 0.5000 1
N1 N 0.2430 0.0000 0.7305 1
N2 N 0.2431 0.3331 0.7291 1
```


The following is a DFT calculation (GGA-PBE) of an optimized crystal structure of LaY2ThN4.

## Properties
DOS at the Fermi energy: 0.247 states/eV/atom
energy: -8.8904 eV per atom

```
data_LaY2ThN4
_space_group_name_H-M_alt 'P 1 2/m 1'
_space_group_IT_number 10
_cell_length_a 6.2154
_cell_length_b 3.5964
_cell_length_c 6.2262
_cell_angle_alpha 90.00
_cell_angle_beta 109.35
_cell_angle_gamma 90.00
loop_
_space_group_symop_operation_xyz
'x,y,z'
'-x,-y,-z'
'-x,y,-z'
'x,-y,z'
loop_
_atom_site_label
_atom_site_type_symbol
_atom_site_fract_x
_atom_site_fract_y
_atom_site_fract_z
_atom_site_occupancy
La1 La 0.0000 0.0000 0.0000 1
Y1 Y 0.5000 0.0000 0.5000 1
Y2 Y 0.5000 0.5000 0.0000 1
Th1 Th 0.0000 0.5000 0.5000 1
N1 N 0.2557 0.0000 0.7437 1
N2 N 0.2589 0.5000 0.2630 1
```


The following is a DFT calculation (GGA-PBE) of an optimized crystal structure of LaTh2ZnN4.

## Properties
DOS at the Fermi energy: 0.157 states/eV/atom
energy: -7.9716 eV per atom

```
data_LaTh2ZnN4
_space_group_name_H-M_alt 'C m c m'
_space_group_IT_number 63
_space_group_name_Hall '-C 2c 2'
_cell_length_a 3.6300
_cell_length_b 11.9924
_cell_length_c 12.0552
_cell_angle_alpha 90.00
_cell_angle_beta 90.00
_cell_angle_gamma 90.00
loop_
_atom_site_label
_atom_site_type_symbol
_atom_site_fract_x
_atom_site_fract_y
_atom_site_fract_z
_atom_site_occupancy
La1 La 0.0000 0.1033 0.2500 1
Th1 Th 0.0000 0.3700 0.0535 1
Zn1 Zn 0.0000 0.1679 0.7500 1
N1 N 0.0000 0.0000 0.0000 1
N2 N 0.0000 0.2707 0.6180 1
N3 N 0.0000 0.4358 0.2500 1
```


The following is a DFT calculation (GGA-PBE) of an optimized crystal structure of LaThZrN3.

## Properties
DOS at the Fermi energy: 0.499 states/eV/atom
energy: -8.8917 eV per atom

```
data_LaThZrN3
_space_group_name_H-M_alt 'P 1 21/m 1'
_space_group_IT_number 11
_cell_length_a 7.3983
_cell_length_b 3.5426
_cell_length_c 8.5025
_cell_angle_alpha 90.00
_cell_angle_beta 95.71
_cell_angle_gamma 90.00
loop_
_space_group_symop_operation_xyz
'x,y,z'
'-x,-y,-z'
'-x,y+1/2,-z'
'x,-y+1/2,z'
loop_
_atom_site_label
_atom_site_type_symbol
_atom_site_fract_x
_atom_site_fract_y
_atom_site_fract_z
_atom_site_occupancy
La1 La 0.1133 0.2500 0.3505 1
Th1 Th 0.4116 0.7500 0.6653 1
Zr1 Zr 0.1606 0.2500 0.9466 1
N1 N 0.1286 0.7500 0.0847 1
N2 N 0.1766 0.2500 0.6834 1
N3 N 0.3718 0.7500 0.3977 1
```


The following is a DFT calculation (GGA-PBE) of an optimized crystal structure of La3Th2ZrN6.

## Properties
DOS at the Fermi energy: 0.312 states/eV/atom
energy: -8.8405 eV per atom

```
data_La3Th2ZrN6
_space_group_name_H-M_alt 'C 1 2/m 1'
_space_group_IT_number 12
_cell_length_a 6.2536
_cell_length_b 10.8220
_cell_length_c 6.3370
_cell_angle_alpha 90.00
_cell_angle_beta 109.17
_cell_angle_gamma 90.00
loop_
_space_group_symop_operation_xyz
'x,y,z'
'-x,-y,-z'
'-x,y,-z'
'x,-y,z'
'x+1/2,y+1/2,z'
'-x+1/2,-y+1/2,-z'
'-x+1/2,y+1/2,-z'
'x+1/2,-y+1/2,z'
loop_
_atom_site_label
_atom_site_type_symbol
_atom_site_fract_x
_atom_site_fract_y
_atom_site_fract_z
_atom_site_occupancy
La1 La 0.0000 0.0000 0.0000 1
La2 La 0.0000 0.3360 0.0000 1
Th1 Th 0.0000 0.1671 0.5000 1
Zr1 Zr 0.0000 0.5000 0.5000 1
N1 N 0.2297 0.3427 0.7162 1
N2 N 0.2411 0.5000 0.2785 1
```


The following is a DFT calculation (GGA-PBE) of an optimized crystal structure of LaTh2ZrN4.

## Properties
DOS at the Fermi energy: 0.331 states/eV/atom
energy: -9.1811 eV per atom

```
data_LaTh2ZrN4
_space_group_name_H-M_alt 'P 1 2/m 1'
_space_group_IT_number 10
_cell_length_a 6.1674
_cell_length_b 3.5568
_cell_length_c 6.2508
_cell_angle_alpha 90.00
_cell_angle_beta 109.15
_cell_angle_gamma 90.00
loop_
_space_group_symop_operation_xyz
'x,y,z'
'-x,-y,-z'
'-x,y,-z'
'x,-y,z'
loop_
_atom_site_label
_atom_site_type_symbol
_atom_site_fract_x
_atom_site_fract_y
_atom_site_fract_z
_atom_site_occupancy
La1 La 0.0000 0.0000 0.0000 1
Th1 Th 0.5000 0.0000 0.5000 1
Th2 Th 0.5000 0.5000 0.0000 1
Zr1 Zr 0.0000 0.5000 0.5000 1
N1 N 0.2343 0.0000 0.7249 1
N2 N 0.2458 0.5000 0.2776 1
```


The following is a DFT calculation (GGA-PBE) of an optimized crystal structure of La2ThZrN4.

## Properties
DOS at the Fermi energy: 0.360 states/eV/atom
energy: -8.8771 eV per atom

```
data_La2ThZrN4
_space_group_name_H-M_alt 'P 1 2/m 1'
_space_group_IT_number 10
_cell_length_a 6.1739
_cell_length_b 3.5662
_cell_length_c 6.2878
_cell_angle_alpha 90.00
_cell_angle_beta 108.85
_cell_angle_gamma 90.00
loop_
_space_group_symop_operation_xyz
'x,y,z'
'-x,-y,-z'
'-x,y,-z'
'x,-y,z'
loop_
_atom_site_label
_atom_site_type_symbol
_atom_site_fract_x
_atom_site_fract_y
_atom_site_fract_z
_atom_site_occupancy
La1 La 0.0000 0.0000 0.0000 1
La2 La 0.5000 0.5000 0.0000 1
Th1 Th 0.0000 0.5000 0.5000 1
Zr1 Zr 0.5000 0.0000 0.5000 1
N1 N 0.2601 0.0000 0.7160 1
N2 N 0.2747 0.5000 0.2851 1
```


The following is a DFT calculation (GGA-PBE) of an optimized crystal structure of LaTiN2.

## Properties
DOS at the Fermi energy: 0.372 states/eV/atom
energy: -8.4016 eV per atom

```
data_LaTiN2
_space_group_name_H-M_alt 'C m c m'
_space_group_IT_number 63
_space_group_name_Hall '-C 2c 2'
_cell_length_a 5.8682
_cell_length_b 8.7492
_cell_length_c 5.0365
_cell_angle_alpha 90.00
_cell_angle_beta 90.00
_cell_angle_gamma 90.00
loop_
_atom_site_label
_atom_site_type_symbol
_atom_site_fract_x
_atom_site_fract_y
_atom_site_fract_z
_atom_site_occupancy
La1 La 0.0000 0.1440 0.2500 1
Ti1 Ti 0.0000 0.5000 0.0000 1
N1 N 0.2352 0.4138 0.2500 1
```


The following is a DFT calculation (GGA-PBE) of an optimized crystal structure of LaTiN2.

## Properties
DOS at the Fermi energy: 0.429 states/eV/atom
energy: -8.7976 eV per atom

```
data_LaTiN2
_space_group_name_H-M_alt 'P 31 2 1'
_space_group_IT_number 152
_cell_length_a 5.7156
_cell_length_b 5.7156
_cell_length_c 6.7604
_cell_angle_alpha 90.00
_cell_angle_beta 90.00
_cell_angle_gamma 120.00
loop_
_space_group_symop_operation_xyz
'x,y,z'
'-y,x-y,z+1/3'
'-x+y,-x,z+2/3'
'y,x,-z'
'x-y,-y,-z+2/3'
'-x,-x+y,-z+1/3'
loop_
_atom_site_label
_atom_site_type_symbol
_atom_site_fract_x
_atom_site_fract_y
_atom_site_fract_z
_atom_site_occupancy
La1 La 0.0000 0.6573 0.1667 1
Ti1 Ti 0.0000 0.6124 0.6667 1
N1 N 0.1201 0.4617 0.8682 1
```


The following is a DFT calculation (GGA-PBE) of an optimized crystal structure of La4TiN5.

## Properties
DOS at the Fermi energy: 0.288 states/eV/atom
energy: -8.2390 eV per atom

```
data_La4TiN5
_space_group_name_H-M_alt 'I 4'
_space_group_IT_number 79
_cell_length_a 7.9443
_cell_length_b 7.9443
_cell_length_c 5.3414
_cell_angle_alpha 90.00
_cell_angle_beta 90.00
_cell_angle_gamma 90.00
loop_
_space_group_symop_operation_xyz
'x,y,z'
'-y,x,z'
'-x,-y,z'
'y,-x,z'
'x+1/2,y+1/2,z+1/2'
'-y+1/2,x+1/2,z+1/2'
'-x+1/2,-y+1/2,z+1/2'
'y+1/2,-x+1/2,z+1/2'
loop_
_atom_site_label
_atom_site_type_symbol
_atom_site_fract_x
_atom_site_fract_y
_atom_site_fract_z
_atom_site_occupancy
La1 La 0.1098 0.3003 0.0000 1
Ti1 Ti 0.0000 0.0000 0.4416 1
N1 N 0.0000 0.0000 0.0927 1
N2 N 0.0886 0.2640 0.4962 1
```